[1]
Material: Ac2Cd4In
Method: DFT, GGA-PBE
State: relaxed

Unit cell a=6.6244 b=6.6203 c=9.6306 alpha=90.00 beta=104.76 gamma=90.00
Closest atoms and distances in Å follow each position.
Element x y z (fractional)
Cd 0.4098 0.4726 0.6974  4 Cd 2.95-3.05, 1 In 2.96
Cd 0.2530 0.7500 0.0958  1 In 2.92, 2 Cd 2.98
Cd 0.5902 0.5274 0.3026  4 Cd 2.95-3.05, 1 In 2.96
In 0.1124 0.7500 0.7829  4 Cd 2.92-2.96
Cd 0.3142 0.2500 0.4103  4 Cd 2.96-3.05, 1 In 2.96
Cd 0.6858 0.7500 0.5897  4 Cd 2.96-3.05, 1 In 2.96
Cd 0.5902 0.9726 0.3026  4 Cd 2.95-3.05, 1 In 2.96
Cd 0.4098 0.0274 0.6974  4 Cd 2.95-3.05, 1 In 2.96
In 0.8876 0.2500 0.2171  4 Cd 2.92-2.96
Ac 0.1216 0.7500 0.4048  5 Cd 3.31-3.54, 1 In 3.66
Ac 0.7250 0.7500 0.9864  9 Cd 3.39-3.76, 1 In 3.60
Ac 0.2750 0.2500 0.0136  9 Cd 3.39-3.76, 1 In 3.60
Ac 0.8784 0.2500 0.5952  5 Cd 3.31-3.54, 1 In 3.66
Cd 0.7470 0.2500 0.9042  1 In 2.92, 2 Cd 2.98

Results
- Total magnetic moment: 0.000 μB per atom
- Formation energy from the elements: -0.313 eV/atom
- Symmetry: P2_1/m

***

[2]
Material: Ca2MnS3
Method: DFT, GGA-PBE
State: relaxed

Unit cell a=3.9453 b=8.2866 c=16.0182 alpha=90.00 beta=90.00 gamma=90.00
Closest atoms and distances in Å follow each position.
Element x y z (fractional)
Ca 0.7500 0.2170 0.4539  6 S 2.83-2.95
S 0.2500 0.8356 0.7279  1 Mn 2.38
Ca 0.7500 0.5944 0.7797  7 S 2.92-3.10
Mn 0.7500 0.6080 0.3734  4 S 2.35-2.40
Ca 0.2500 0.7830 0.5461  6 S 2.83-2.95
Ca 0.7500 0.7170 0.0461  6 S 2.83-2.95
S 0.2500 0.9531 0.0982  2 Mn 2.40
Mn 0.2500 0.3920 0.6266  4 S 2.35-2.40
S 0.2500 0.3356 0.7721  1 Mn 2.38
S 0.2500 0.6290 0.9281  1 Mn 2.35
S 0.7500 0.3710 0.0719  1 Mn 2.35
S 0.7500 0.0469 0.9018  2 Mn 2.40
S 0.2500 0.4531 0.4018  2 Mn 2.40
Ca 0.2500 0.4056 0.2203  7 S 2.92-3.10
S 0.7500 0.1644 0.2721  1 Mn 2.38
S 0.7500 0.5469 0.5982  2 Mn 2.40
S 0.7500 0.6644 0.2279  1 Mn 2.38
Ca 0.7500 0.0944 0.7203  7 S 2.92-3.10
Ca 0.2500 0.2830 0.9539  6 S 2.83-2.95
S 0.2500 0.1290 0.5719  1 Mn 2.35
Mn 0.7500 0.1080 0.1266  4 S 2.35-2.40
Mn 0.2500 0.8920 0.8734  4 S 2.35-2.40
Ca 0.2500 0.9056 0.2797  7 S 2.92-3.10
S 0.7500 0.8710 0.4281  1 Mn 2.35

Results
- Total magnetic moment: 0.833 μB per atom
- Symmetry: Pnma
- Formation energy from raw total energies: -9.3 eV per formula unit

***

[3]
Material: NaZrCuS3
Method: DFT, GGA-PBE
State: relaxed

Unit cell a=3.7165 b=6.8220 c=9.8098 alpha=90.00 beta=90.00 gamma=105.80
Closest atoms and distances in Å follow each position.
Element x y z (fractional)
Cu 0.5285 0.0584 0.2500  4 S 2.29-2.33
S 0.6302 0.2605 0.0602  1 Cu 2.29
S 0.3698 0.7395 0.5602  1 Cu 2.29
Na 0.7510 0.5021 0.7500  6 S 2.93-3.06
S 0.0783 0.1561 0.7500  2 Cu 2.33
Na 0.2490 0.4979 0.2500  6 S 2.93-3.06
S 0.6302 0.2605 0.4398  1 Cu 2.29
S 0.9217 0.8439 0.2500  2 Cu 2.33
Zr 0.0000 0.0000 0.5000  6 S 2.59-2.66
Cu 0.4715 0.9416 0.7500  4 S 2.29-2.33
Zr 0.0000 0.0000 0.0000  6 S 2.59-2.66
S 0.3698 0.7395 0.9398  1 Cu 2.29

Results
- Total magnetic moment: 0.000 μB per atom
- Symmetry: Cmcm
- Formation energy from raw total energies: -7.2 eV per formula unit